CsMn2PbO8 (PBE with a Hubbard U, relaxed); size of the total moment = 1.0 μB/cell; VASP energy = -70.136 eV per cell
1.0
5.540 0.000 0.000
-2.770 4.798 0.000
0.000 0.000 9.052
Cs Mn Pb O
1 2 1 8
Direct
0.000 0.000 0.000
0.333 0.667 0.735
0.667 0.333 0.265
0.000 0.000 0.500
0.067 0.372 0.674
0.305 0.933 0.674
0.333 0.667 0.915
0.372 0.305 0.326
0.628 0.695 0.674
0.667 0.333 0.085
0.695 0.067 0.326
0.933 0.628 0.326